{"formula": "AlZn2Au2", "functional": "GGA-PBE", "state": "relaxed", "e_form_mev_per_atom": -250, "magnetic_moment_mub_per_atom": 0.00, "cell": [[4.4643, 0.0000, 0.0000], [0.0000, 4.4303, 0.0000], [-0.0014, 0.0000, 9.0553]], "species": ["Al", "Al", "Zn", "Zn", "Zn", "Zn", "Au", "Au", "Au", "Au"], "fractional_positions": [[0.2494, 0.2500, 0.3173], [0.7506, 0.7500, 0.6827], [0.2496, 0.2500, 0.6876], [0.2498, 0.2500, 0.9989], [0.7502, 0.7500, 0.0011], [0.7504, 0.7500, 0.3124], [0.2503, 0.7500, 0.1625], [0.2505, 0.7500, 0.5204], [0.7495, 0.2500, 0.4796], [0.7497, 0.2500, 0.8375]]}

=====

{"formula": "La3PbO", "functional": "GGA-PBE", "state": "relaxed", "dft_energy_ev_per_atom": -6.000, "magnetic_moment_mub_per_atom": 0.00, "cell": [[9.7045, 0.0000, 0.0000], [0.0000, 6.5964, 0.0000], [-3.5577, 0.0000, 8.7243]], "species": ["La", "La", "La", "La", "La", "La", "La", "La", "La", "La", "La", "La", "Pb", "Pb", "Pb", "Pb", "O", "O", "O", "O"], "fractional_positions": [[0.0435, 0.1050, 0.3426], [0.0435, 0.3950, 0.8426], [0.1731, 0.5834, 0.5388], [0.1731, 0.9166, 0.0388], [0.3509, 0.1302, 0.7531], [0.3509, 0.3698, 0.2531], [0.6491, 0.6302, 0.7469], [0.6491, 0.8698, 0.2469], [0.8269, 0.0834, 0.9612], [0.8269, 0.4166, 0.4612], [0.9565, 0.6050, 0.1574], [0.9565, 0.8950, 0.6574], [0.3729, 0.6463, 0.9014], [0.3729, 0.8537, 0.4014], [0.6271, 0.1463, 0.5986], [0.6271, 0.3537, 0.0986], [0.0763, 0.2422, 0.6086], [0.0763, 0.2578, 0.1086], [0.9237, 0.7422, 0.8914], [0.9237, 0.7578, 0.3914]]}

=====

{"formula": "Ce3ZrP2Rh9", "functional": "GGA-PBE", "state": "relaxed", "e_form_mev_per_atom": -621, "magnetic_moment_mub_per_atom": 0.05, "cell": [[5.8427, 0.0000, 0.0000], [-2.9213, 5.0599, 0.0000], [0.0000, 0.0000, 9.8840]], "species": ["Ce", "Ce", "Ce", "Zr", "P", "P", "Rh", "Rh", "Rh", "Rh", "Rh", "Rh", "Rh", "Rh", "Rh"], "fractional_positions": [[0.0000, 0.0000, 0.0000], [0.3333, 0.6667, 0.6791], [0.6667, 0.3333, 0.3209], [0.0000, 0.0000, 0.5000], [0.3333, 0.6667, 0.1537], [0.6667, 0.3333, 0.8463], [0.0000, 0.5000, 0.0000], [0.1591, 0.3183, 0.2903], [0.1591, 0.8409, 0.2903], [0.3183, 0.1591, 0.7097], [0.5000, 0.0000, 0.0000], [0.5000, 0.5000, 0.0000], [0.6817, 0.8409, 0.2903], [0.8409, 0.1591, 0.7097], [0.8409, 0.6817, 0.7097]]}

=====

{"formula": "Tc2RuBr", "functional": "GGA-PBE", "state": "relaxed", "dft_energy_ev_per_atom": -7.366, "magnetic_moment_mub_per_atom": 0.00, "cell": [[2.8840, 0.0000, 0.0000], [-1.4420, 2.4976, 0.0000], [0.0000, 0.0000, 25.7331]], "species": ["Tc", "Tc", "Tc", "Tc", "Tc", "Tc", "Ru", "Ru", "Ru", "Br", "Br", "Br"], "fractional_positions": [[0.0000, 0.0000, 0.2484], [0.0000, 0.0000, 0.7516], [0.3333, 0.6667, 0.4183], [0.3333, 0.6667, 0.9150], [0.6667, 0.3333, 0.0850], [0.6667, 0.3333, 0.5817], [0.0000, 0.0000, 0.5000], [0.3333, 0.6667, 0.1667], [0.6667, 0.3333, 0.8333], [0.0000, 0.0000, 0.0000], [0.3333, 0.6667, 0.6667], [0.6667, 0.3333, 0.3333]]}

=====

{"formula": "Sb2POs", "functional": "GGA-PBE", "state": "relaxed", "dft_energy_ev_per_atom": -5.331, "magnetic_moment_mub_per_atom": 0.00, "cell": [[3.3813, 0.0000, 0.0000], [0.0000, 4.5136, 0.0000], [0.0000, 0.0000, 5.1260]], "species": ["Sb", "Sb", "P", "Os"], "fractional_positions": [[0.0000, 0.0000, 0.0000], [0.5000, 0.0000, 0.5000], [0.0000, 0.5000, 0.5000], [0.5000, 0.5000, 0.0000]]}

=====

{"formula": "Sr3HfZr", "functional": "GGA-PBE", "state": "relaxed", "e_form_mev_per_atom": 1419, "magnetic_moment_mub_per_atom": 0.12, "cell": [[5.8878, 0.0000, 0.0000], [0.0000, 5.8878, 0.0000], [0.0000, 0.0000, 5.8878]], "species": ["Sr", "Sr", "Sr", "Hf", "Zr"], "fractional_positions": [[0.0000, 0.0000, 0.5000], [0.0000, 0.5000, 0.0000], [0.5000, 0.0000, 0.0000], [0.5000, 0.5000, 0.5000], [0.0000, 0.0000, 0.0000]]}

=====

{"formula": "Ag2Hg2Sb", "functional": "GGA-PBE", "state": "relaxed", "dft_energy_ev_per_atom": -1.888, "magnetic_moment_mub_per_atom": 0.00, "cell": [[4.0304, 0.0000, 0.0000], [0.0000, 4.0304, 0.0000], [0.0000, 0.0000, 14.4893]], "species": ["Ag", "Ag", "Ag", "Ag", "Hg", "Hg", "Hg", "Hg", "Sb", "Sb"], "fractional_positions": [[0.0000, 0.0000, 0.0945], [0.0000, 0.0000, 0.9055], [0.5000, 0.5000, 0.4055], [0.5000, 0.5000, 0.5945], [0.0000, 0.5000, 0.2500], [0.0000, 0.5000, 0.7500], [0.5000, 0.0000, 0.2500], [0.5000, 0.0000, 0.7500], [0.0000, 0.0000, 0.5000], [0.5000, 0.5000, 0.0000]]}

=====

{"formula": "DyZnFeC", "functional": "GGA-PBE", "state": "relaxed", "e_form_mev_per_atom": -149, "magnetic_moment_mub_per_atom": 0.00, "cell": [[3.4560, 0.0000, 0.0000], [0.0000, 3.4560, 0.0000], [0.0000, 0.0000, 10.0815]], "species": ["Dy", "Dy", "Zn", "Zn", "Fe", "Fe", "C", "C"], "fractional_positions": [[0.2500, 0.2500, 0.2257], [0.7500, 0.7500, 0.7743], [0.2500, 0.7500, 0.5000], [0.7500, 0.2500, 0.5000], [0.2500, 0.7500, 0.0000], [0.7500, 0.2500, 0.0000], [0.2500, 0.2500, 0.9039], [0.7500, 0.7500, 0.0961]]}

=====

{"formula": "SrSi2Ag6", "functional": "GGA-PBE", "state": "relaxed", "dft_energy_ev_per_atom": -3.425, "magnetic_moment_mub_per_atom": 0.00, "cell": [[4.4583, 0.0000, 0.0000], [0.0000, 4.4583, 0.0000], [0.0000, 0.0000, 8.8207]], "species": ["Sr", "Si", "Si", "Ag", "Ag", "Ag", "Ag", "Ag", "Ag"], "fractional_positions": [[0.0000, 0.0000, 0.0000], [0.5000, 0.5000, 0.1350], [0.5000, 0.5000, 0.8650], [0.0000, 0.0000, 0.5000], [0.0000, 0.5000, 0.2864], [0.0000, 0.5000, 0.7136], [0.5000, 0.0000, 0.2864], [0.5000, 0.0000, 0.7136], [0.5000, 0.5000, 0.5000]]}

=====

{"formula": "NdHo3In2", "functional": "GGA-PBE", "state": "relaxed", "e_form_mev_per_atom": -249, "magnetic_moment_mub_per_atom": 0.07, "cell": [[8.1542, -2.6875, 0.0000], [8.1542, 2.6875, 0.0000], [-4.5373, 0.0000, 8.0428]], "species": ["Nd", "Nd", "Ho", "Ho", "Ho", "Ho", "Ho", "Ho", "In", "In", "In", "In"], "fractional_positions": [[0.1315, 0.1315, 0.1704], [0.8685, 0.8685, 0.8296], [0.0598, 0.0598, 0.7145], [0.3071, 0.3071, 0.0085], [0.3844, 0.3844, 0.4571], [0.6156, 0.6156, 0.5429], [0.6929, 0.6929, 0.9915], [0.9402, 0.9402, 0.2855], [0.2265, 0.2265, 0.5936], [0.4805, 0.4805, 0.8314], [0.5195, 0.5195, 0.1686], [0.7735, 0.7735, 0.4064]]}

=====

Number 1: DOS at the Fermi energy 0.76 states/eV/f.u.. Number 2: DOS at the Fermi energy 3.98 states/eV/f.u.. Number 3: DOS at the Fermi energy 11.57 states/eV/f.u.. Number 4: DOS at the Fermi energy 3.54 states/eV/f.u.. Number 5: DOS at the Fermi energy 3.15 states/eV/f.u.. Number 6: DOS at the Fermi energy 8.57 states/eV/f.u.. Number 7: DOS at the Fermi energy 2.10 states/eV/f.u.. Number 8: DOS at the Fermi energy 3.12 states/eV/f.u.. Number 9: DOS at the Fermi energy 2.99 states/eV/f.u.. Number 10: DOS at the Fermi energy 6.41 states/eV/f.u..